(1)
Below is La2TlCoGe after structural relaxation, with properties calculated at the PBE-GGA level.

- crystal system = tetragonal
- Fermi-level density of states (states/eV/atom) = 0.771
- space group = P4/mmm (123)
- E_form (eV per atom) = -0.4260

The structure in POSCAR format:
```
La2TlCoGe
1.0
5.361 0.000 0.000
0.000 5.361 0.000
0.000 0.000 4.568
La Tl Co Ge
2 1 1 1
Direct
0.000 0.500 0.000 La
0.500 0.000 0.000 La
0.000 0.000 0.500 Tl
0.500 0.500 0.000 Co
0.500 0.500 0.500 Ge
```

***

(2)
Below is Sc2TlCl after structural relaxation, with properties calculated at the PBE-GGA level.

- crystal system = tetragonal
- Fermi-level density of states (states/eV/atom) = 0.611
- space group = P4/mmm (123)
- E (eV/atom) = -4.758

The structure in POSCAR format:
```
Sc2TlCl
1.0
3.301 0.000 0.000
0.000 3.301 0.000
0.000 0.000 7.767
Sc Tl Cl
2 1 1
Direct
0.000 0.000 0.236 Sc
0.000 0.000 0.764 Sc
0.500 0.500 0.500 Tl
0.500 0.500 0.000 Cl
```

***

(3)
Below is TlPb6Au3 after structural relaxation, with properties calculated at the PBE-GGA level.

- crystal system = monoclinic
- Fermi-level density of states (states/eV/atom) = 0.381
- space group = P2_1/m (11)
- E_form (eV per atom) = -0.0642

The structure in POSCAR format:
```
TlPb6Au3
1.0
10.882 0.000 0.000
0.000 4.634 0.000
-1.231 0.000 11.286
Tl Pb Au
2 12 6
Direct
0.081 0.250 0.255 Tl
0.919 0.750 0.745 Tl
0.077 0.250 0.920 Pb
0.117 0.750 0.492 Pb
0.277 0.750 0.783 Pb
0.318 0.750 0.284 Pb
0.385 0.250 0.557 Pb
0.395 0.250 0.054 Pb
0.605 0.750 0.946 Pb
0.615 0.750 0.443 Pb
0.682 0.250 0.716 Pb
0.723 0.250 0.217 Pb
0.883 0.250 0.508 Pb
0.923 0.750 0.080 Pb
0.135 0.250 0.664 Au
0.213 0.750 0.037 Au
0.482 0.250 0.313 Au
0.518 0.750 0.687 Au
0.787 0.250 0.963 Au
0.865 0.750 0.336 Au
```

***

(4)
Below is TcNiPtRh after structural relaxation, with properties calculated at the PBE-GGA level.

- crystal system = cubic
- Fermi-level density of states (states/eV/atom) = 1.547
- space group = F-43m (216)
- E_form (eV per atom) = 0.1737

The structure in POSCAR format:
```
TcNiPtRh
1.0
6.089 0.000 0.000
0.000 6.089 0.000
0.000 0.000 6.089
Tc Ni Pt Rh
4 4 4 4
Direct
0.000 0.000 0.000 Tc
0.000 0.500 0.500 Tc
0.500 0.000 0.500 Tc
0.500 0.500 0.000 Tc
0.250 0.250 0.750 Ni
0.250 0.750 0.250 Ni
0.750 0.250 0.250 Ni
0.750 0.750 0.750 Ni
0.000 0.000 0.500 Pt
0.000 0.500 0.000 Pt
0.500 0.000 0.000 Pt
0.500 0.500 0.500 Pt
0.250 0.250 0.250 Rh
0.250 0.750 0.750 Rh
0.750 0.250 0.750 Rh
0.750 0.750 0.250 Rh
```

***

(5)
Below is K2HS2 after structural relaxation, with properties calculated at the PBE-GGA level.

- crystal system = tetragonal
- Fermi-level density of states (states/eV/atom) = 0.304
- space group = I4/mmm (139)
- E (eV/atom) = -3.266

The structure in POSCAR format:
```
K2HS2
1.0
6.299 0.000 0.000
0.000 6.299 0.000
0.000 0.000 6.312
K H S
4 2 4
Direct
0.000 0.500 0.250 K
0.000 0.500 0.750 K
0.500 0.000 0.250 K
0.500 0.000 0.750 K
0.000 0.000 0.000 H
0.500 0.500 0.500 H
0.000 0.000 0.259 S
0.000 0.000 0.741 S
0.500 0.500 0.241 S
0.500 0.500 0.759 S
```

***

(6)
Below is TbDyTh2 after structural relaxation, with properties calculated at the PBE-GGA level.

- crystal system = trigonal
- Fermi-level density of states (states/eV/atom) = 1.542
- space group = R3m (160)
- E_form (eV per atom) = 0.0405

The structure in POSCAR format:
```
TbDyTh2
1.0
3.565 0.000 0.000
-1.782 3.087 0.000
0.000 0.000 34.849
Tb Dy Th
3 3 6
Direct
0.000 0.000 0.000 Tb
0.333 0.667 0.667 Tb
0.667 0.333 0.333 Tb
0.000 0.000 0.830 Dy
0.333 0.667 0.497 Dy
0.667 0.333 0.163 Dy
0.000 0.000 0.248 Th
0.000 0.000 0.415 Th
0.333 0.667 0.082 Th
0.333 0.667 0.915 Th
0.667 0.333 0.582 Th
0.667 0.333 0.748 Th
```

***

Question: What is the formula in the third record?
Answer: TlPb6Au3

***

Repeat the fourth record exactly.
Below is TcNiPtRh after structural relaxation, with properties calculated at the PBE-GGA level.

- crystal system = cubic
- Fermi-level density of states (states/eV/atom) = 1.547
- space group = F-43m (216)
- E_form (eV per atom) = 0.1737

The structure in POSCAR format:
```
TcNiPtRh
1.0
6.089 0.000 0.000
0.000 6.089 0.000
0.000 0.000 6.089
Tc Ni Pt Rh
4 4 4 4
Direct
0.000 0.000 0.000 Tc
0.000 0.500 0.500 Tc
0.500 0.000 0.500 Tc
0.500 0.500 0.000 Tc
0.250 0.250 0.750 Ni
0.250 0.750 0.250 Ni
0.750 0.250 0.250 Ni
0.750 0.750 0.750 Ni
0.000 0.000 0.500 Pt
0.000 0.500 0.000 Pt
0.500 0.000 0.000 Pt
0.500 0.500 0.500 Pt
0.250 0.250 0.250 Rh
0.250 0.750 0.750 Rh
0.750 0.250 0.750 Rh
0.750 0.750 0.250 Rh
```

***

Question: What is the Fermi-level density of states in the sixth record?
Answer: 1.542 states/eV/atom